Material: Nb2AuO4
Method: DFT, PBE
State: relaxed

DFT total energy (eV per atom): -7.646

Lattice parameters (Å, degrees): 6.426 6.426 6.426 119.99 90.02 119.99
Element x y z (fractional)
O: 0.606 0.213 0.819
O: 0.569 0.713 0.856
O: 0.606 0.213 0.394
O: 0.144 0.713 0.856
O: 0.181 0.787 0.394
O: 0.144 0.287 0.431
O: 0.144 0.287 0.856
O: 0.606 0.787 0.394
Nb: 0.375 0.750 0.125
Nb: 0.875 0.250 0.625
Nb: 0.375 0.750 0.625
Nb: 0.375 0.250 0.625
Au: 0.750 0.500 0.250
Au: 0.000 0.000 0.000